Entry 1:
# GGA-PBEsol ZnSbTe2Pt, relaxed
data_ZnSbTe2Pt
_cell_length_a 5.0579
_cell_length_b 5.0579
_cell_length_c 4.9804
_cell_angle_alpha 90.00
_cell_angle_beta 90.00
_cell_angle_gamma 90.00
_space_group_name_H-M_alt 'P 4/m m m'
_space_group_IT_number 123
_space_group_name_Hall '-P 4 2'
loop_
_atom_site_label
_atom_site_type_symbol
_atom_site_fract_x
_atom_site_fract_y
_atom_site_fract_z
Zn1 Zn 0.0000 0.0000 0.0000
Sb1 Sb 0.0000 0.0000 0.5000
Te1 Te 0.0000 0.5000 0.0000
Pt1 Pt 0.5000 0.5000 0.5000
# Formation energy without anion corrections (eV/atom): 0.93
# ρ (g/cm³): 8.3
# Calculated total energy (eV per formula unit): -15.51

---

Entry 2:
# GGA-PBEsol Ti3SbPt, relaxed
data_Ti3SbPt
_cell_length_a 4.8232
_cell_length_b 4.8232
_cell_length_c 4.8232
_cell_angle_alpha 90.00
_cell_angle_beta 90.00
_cell_angle_gamma 90.00
_space_group_name_H-M_alt 'P m -3 m'
_space_group_IT_number 221
_space_group_name_Hall '-P 4 2 3'
loop_
_atom_site_label
_atom_site_type_symbol
_atom_site_fract_x
_atom_site_fract_y
_atom_site_fract_z
Ti1 Ti 0.0000 0.0000 0.5000
Sb1 Sb 0.0000 0.0000 0.0000
Pt1 Pt 0.5000 0.5000 0.5000
# Formation energy without anion corrections (eV/atom): 0.97
# ρ (g/cm³): 6.8
# Calculated total energy (eV per formula unit): -31.62

---

Entry 3:
# GGA-PBEsol Tl2SbPt, relaxed
data_Tl2SbPt
_cell_length_a 3.2640
_cell_length_b 3.7883
_cell_length_c 8.1008
_cell_angle_alpha 90.00
_cell_angle_beta 101.34
_cell_angle_gamma 90.00
_space_group_name_H-M_alt 'P 1 m 1'
_space_group_IT_number 6
loop_
_space_group_symop_operation_xyz
'x,y,z'
'x,-y,z'
loop_
_atom_site_label
_atom_site_type_symbol
_atom_site_fract_x
_atom_site_fract_y
_atom_site_fract_z
Tl1 Tl 0.0000 0.0000 0.0000
Tl2 Tl 0.3498 0.5000 0.7107
Sb1 Sb 0.6989 0.0000 0.4056
Pt1 Pt 0.5894 0.5000 0.1818
# Formation energy without anion corrections (eV/atom): -0.03
# ρ (g/cm³): 12.3
# Polymorph energy (0 for the lowest one) (eV/atom): 0.082
# Calculated total energy (eV per formula unit): -16.88

---

Entry 4:
# GGA-PBEsol TlSbPt2, relaxed
data_TlSbPt2
_cell_length_a 3.8382
_cell_length_b 3.8382
_cell_length_c 19.4989
_cell_angle_alpha 90.00
_cell_angle_beta 90.00
_cell_angle_gamma 120.00
_space_group_name_H-M_alt 'R -3 m'
_space_group_IT_number 166
_space_group_name_Hall '-R 3 2"'
loop_
_atom_site_label
_atom_site_type_symbol
_atom_site_fract_x
_atom_site_fract_y
_atom_site_fract_z
Tl1 Tl 0.0000 0.0000 0.0000
Sb1 Sb 0.0000 0.0000 0.5000
Pt1 Pt 0.0000 0.0000 0.2444
# Formation energy without anion corrections (eV/atom): -0.09
# ρ (g/cm³): 14.3
# Calculated total energy (eV per formula unit): -21.46

---

Entry 5:
# GGA-PBEsol Tl2SbPt, relaxed
data_Tl2SbPt
_cell_length_a 4.1799
_cell_length_b 4.1799
_cell_length_c 10.5876
_cell_angle_alpha 90.00
_cell_angle_beta 90.00
_cell_angle_gamma 90.00
_space_group_name_H-M_alt 'I 4/m m m'
_space_group_IT_number 139
_space_group_name_Hall '-I 4 2'
loop_
_atom_site_label
_atom_site_type_symbol
_atom_site_fract_x
_atom_site_fract_y
_atom_site_fract_z
Tl1 Tl 0.0000 0.5000 0.2500
Sb1 Sb 0.0000 0.0000 0.0000
Pt1 Pt 0.0000 0.0000 0.5000
# Formation energy without anion corrections (eV/atom): 0.18
# ρ (g/cm³): 13.0
# Polymorph energy (0 for the lowest one) (eV/atom): 0.291
# Calculated total energy (eV per formula unit): -16.05

---

Entry 6:
# GGA-PBEsol Tl2SbPt, relaxed
data_Tl2SbPt
_cell_length_a 4.4893
_cell_length_b 4.7811
_cell_length_c 8.5505
_cell_angle_alpha 90.00
_cell_angle_beta 90.00
_cell_angle_gamma 90.00
_space_group_name_H-M_alt 'C m m m'
_space_group_IT_number 65
_space_group_name_Hall '-C 2 2'
loop_
_atom_site_label
_atom_site_type_symbol
_atom_site_fract_x
_atom_site_fract_y
_atom_site_fract_z
Tl1 Tl 0.0000 0.0000 0.2077
Sb1 Sb 0.0000 0.5000 0.5000
Pt1 Pt 0.0000 0.5000 0.0000
# Formation energy without anion corrections (eV/atom): 0.15
# ρ (g/cm³): 13.1
# Polymorph energy (0 for the lowest one) (eV/atom): 0.256
# Calculated total energy (eV per formula unit): -16.19